This record from Alexandria describes crystalline Rh3WO at its relaxed geometry. The functional is PBE+U.

Geometry as CIF:
```
data_Rh3WO
_chemical_formula_sum 'Rh3 W1 O1'
_cell_length_a 4.764
_cell_length_b 4.764
_cell_length_c 4.764
_cell_angle_alpha 90.00
_cell_angle_beta 90.00
_cell_angle_gamma 90.00
_symmetry_space_group_name_H-M 'P m -3 m'
_symmetry_Int_Tables_number 221
_symmetry_space_group_name_Hall '-P 4 2 3'
loop_
_atom_site_label
_atom_site_type_symbol
_atom_site_fract_x
_atom_site_fract_y
_atom_site_fract_z
_atom_site_occupancy
Rh1 Rh 0.000 0.000 0.500 1
W1 W 0.000 0.000 0.000 1
O1 O 0.500 0.500 0.500 1
```

* energy above the lowest structure with this stoichiometry: 1.534 eV per atom
* N(E_F): 4.496 states/eV per cell
* DFT total energy: -24.65 eV per formula unit